Tc2Os, PBEsol geometry, DFT SCAN; energy = -47.4229 eV/atom; formation energy from the elements = -90 meV/atom; DOS at the Fermi energy = 0.720 states/eV/atom; energy relative to the lowest polymorph listed for this composition = 5 meV per atom; space-group type = Cm (8); total magnetization = 0.0 μB per cell
1.0
2.7228 -0.0005 -0.0005
-1.3623 4.9310 0.0026
-0.0009 -1.5360 6.2229
Tc Os
4 2
Cartesian
1.3597 0.7351 5.8785
-0.0005 2.2624 4.1451
-0.0018 3.4088 1.7322
-0.0010 -0.3820 3.8061
0.0007 0.0026 0.0003
1.3616 1.1258 2.0741

---

Sc2Be2Al, PBEsol geometry, DFT SCAN; energy = -9.2292 eV/atom; formation energy from the elements = -243 meV/atom; DOS at the Fermi energy = 0.629 states/eV/atom; space-group type = P4/mbm (127); total magnetization = 0.0 μB per cell
1.0
-2.6402 0.0745 2.7569
3.3451 -4.3681 3.3215
3.2189 4.7123 2.9554
Al Sc Be
2 4 4
Cartesian
0.0000 0.0000 0.0000
3.2820 0.1721 3.1384
0.3308 -0.5893 2.9764
1.4153 2.4524 3.9328
2.5086 -2.0337 5.1009
3.5930 1.0080 6.0573
1.6246 1.2635 1.5217
2.4624 -2.1426 2.4161
4.9394 -0.9192 4.7551
4.1016 2.4869 3.8608

---

Er2C, PBEsol geometry, DFT SCAN; energy = -37.3791 eV/atom; formation energy from the elements = -452 meV/atom; DOS at the Fermi energy = 0.449 states/eV/atom; space-group type = R-3m (166); total magnetization = 0.4 μB per cell
1.0
3.5064 0.0000 0.0000
1.7532 3.0366 0.0000
1.7532 1.0122 5.9733
Er C
2 1
Cartesian
1.7532 1.0122 1.6661
5.2596 3.0366 4.3072
3.5064 2.0244 2.9866

---

LiAgAs, PBEsol geometry, DFT SCAN; energy = -18.3026 eV/atom; formation energy from the elements = -320 meV/atom; DOS at the Fermi energy = 0.118 states/eV/atom; energy relative to the lowest polymorph listed for this composition = 0 meV per atom; space-group type = P3m1 (156); total magnetization = 0.0 μB per cell
1.0
3.0002 0.0000 0.0000
0.0000 4.4299 0.0000
0.0000 -2.2150 3.8364
Ag Li As
1 1 1
Cartesian
2.5035 0.0000 0.0000
0.9991 2.2150 1.2788
2.4978 0.0000 2.5576

---

AsP2Cl, PBEsol geometry, DFT SCAN; energy = -11.6406 eV/atom; DOS at the Fermi energy = 0.434 states/eV/atom; energy relative to the lowest polymorph listed for this composition = 585 meV per atom; space-group type = Cmmm (65); total magnetization = 0.0 μB per cell; ΔE_f (raw) = 0.6009 eV per atom
1.0
3.4480 0.0000 0.0000
-1.7240 3.3094 0.0000
0.0000 0.0000 7.1402
P As Cl
2 1 1
Cartesian
0.0000 0.0000 5.1839
0.0000 0.0000 1.9563
1.7240 0.0000 3.5701
1.7240 0.0000 0.0000

---

Sb2RuPt, PBEsol geometry, DFT SCAN; energy = -44.6422 eV/atom; DOS at the Fermi energy = 0.980 states/eV/atom; energy relative to the lowest polymorph listed for this composition = 243 meV per atom; space-group type = Fm-3m (225); total magnetization = 0.0 μB per cell; ΔE_f (raw) = 0.2430 eV per atom
1.0
4.6669 0.0000 0.0000
2.3334 4.0416 0.0000
2.3334 1.3472 3.8105
Pt Ru Sb
1 1 2
Cartesian
0.0000 0.0000 0.0000
4.6669 2.6944 1.9052
2.3334 1.3472 0.9526
7.0003 4.0416 2.8579

---

Al2TcCl, PBEsol geometry, DFT SCAN; energy = -14.3897 eV/atom; DOS at the Fermi energy = 0.413 states/eV/atom; energy relative to the lowest polymorph listed for this composition = 768 meV per atom; space-group type = Immm (71); total magnetization = 0.0 μB per cell; ΔE_f (raw) = 0.2457 eV per atom
1.0
3.1974 0.0000 0.0000
0.0000 4.4904 0.0000
-1.5987 -2.2452 4.1330
Tc Al Cl
1 2 1
Cartesian
0.0000 2.2452 0.0000
1.5987 2.2452 2.0590
0.0000 0.0000 2.0740
1.5987 0.0000 0.0000

---

TeAsBr2F, PBEsol geometry, DFT SCAN; energy = -19.8350 eV/atom; DOS at the Fermi energy = 0.810 states/eV/atom; space-group type = P4/mmm (123); total magnetization = 0.0 μB per cell; ΔE_f (raw) = 0.1451 eV per atom
1.0
3.8343 0.0000 0.0000
0.0000 5.5070 0.0000
0.0000 0.0000 5.5070
Te As F Br
1 1 1 2
Cartesian
1.9172 2.7535 2.7535
1.9172 0.0000 0.0000
0.0000 0.0000 0.0000
0.0000 2.7535 0.0000
0.0000 0.0000 2.7535

---

ReMo3, PBEsol geometry, DFT SCAN; energy = -43.9341 eV/atom; formation energy from the elements = 4 meV/atom; DOS at the Fermi energy = 0.718 states/eV/atom; space-group type = P2/m (10); total magnetization = 0.0 μB per cell
1.0
-1.7007 -1.9508 0.7649
3.3646 -2.8195 0.2900
1.2525 1.9688 4.6095
Mo Re
3 1
Cartesian
-0.1208 -0.0055 1.3482
-0.3275 0.0234 4.0262
0.8319 -2.3852 0.5275
2.3085 -0.4254 2.4498

---

NaRe2F, PBEsol geometry, DFT SCAN; energy = -35.4227 eV/atom; DOS at the Fermi energy = 1.178 states/eV/atom; space-group type = Fm-3m (225); total magnetization = 0.0 μB per cell; ΔE_f (raw) = 2.0648 eV per atom
1.0
4.3120 0.0000 0.0000
2.1560 3.7343 0.0000
2.1560 1.2448 3.5207
F Re Na
1 2 1
Cartesian
0.0000 0.0000 0.0000
2.1560 1.2448 0.8802
6.4680 3.7343 2.6405
4.3120 2.4895 1.7604

---

Zr3OsI, PBEsol geometry, DFT SCAN; energy = -39.9560 eV/atom; DOS at the Fermi energy = 0.475 states/eV/atom; space-group type = Pm-3m (221); total magnetization = 0.0 μB per cell; ΔE_f (raw) = 0.1876 eV per atom
1.0
5.0612 0.0000 0.0000
0.0000 5.0612 0.0000
0.0000 0.0000 5.0612
I Os Zr
1 1 3
Cartesian
2.5306 2.5306 2.5306
0.0000 0.0000 0.0000
2.5306 0.0000 0.0000
0.0000 2.5306 0.0000
0.0000 0.0000 2.5306

---

CuRe3Ge, PBEsol geometry, DFT SCAN; energy = -47.4064 eV/atom; formation energy from the elements = 2109 meV/atom; DOS at the Fermi energy = 1.162 states/eV/atom; space-group type = Pm-3m (221); total magnetization = 0.0 μB per cell
1.0
4.4655 0.0000 0.0000
0.0000 4.4655 0.0000
0.0000 0.0000 4.4655
Cu Ge Re
1 1 3
Cartesian
2.2327 2.2327 2.2327
0.0000 0.0000 0.0000
0.0000 2.2327 0.0000
0.0000 0.0000 2.2327
2.2327 0.0000 0.0000